VASP calculation (meta-GGA SCAN) on a PBEsol-optimized structure of NaSO3.

Unit cell a=4.027 b=4.027 c=4.027 alpha=90.00 beta=90.00 gamma=90.00
Space group Pm-3m (No. 221)
Asymmetric unit:
Na (0.000, 0.000, 0.000) x1
S (0.500, 0.500, 0.500) x1
O (0.000, 0.000, 0.500) x3

Results
total DFT energy (no corrections): -26.623 eV/cell


VASP calculation (meta-GGA SCAN) on a PBEsol-optimized structure of ScFeGe3.

Unit cell a=4.942 b=4.942 c=4.942 alpha=90.00 beta=90.00 gamma=90.00
Space group Pm-3m (No. 221)
Asymmetric unit:
Sc (0.000, 0.000, 0.000) x1
Fe (0.500, 0.500, 0.500) x1
Ge (0.000, 0.000, 0.500) x3

Results
total DFT energy (no corrections): -84.498 eV/cell


VASP calculation (meta-GGA SCAN) on a PBEsol-optimized structure of PrMg3.

Unit cell a=7.367 b=7.367 c=7.367 alpha=90.00 beta=90.00 gamma=90.00
Space group Fm-3m (No. 225)
Asymmetric unit:
Pr (0.000, 0.000, 0.000) x4
Mg (0.000, 0.000, 0.500) x4
Mg (0.250, 0.250, 0.250) x8

Results
total DFT energy (no corrections): -235.172 eV/cell


VASP calculation (meta-GGA SCAN) on a PBEsol-optimized structure of Ca4SbMo.

Unit cell a=8.822 b=8.822 c=8.822 alpha=90.00 beta=90.00 gamma=90.00
Space group F-43m (No. 216)
Asymmetric unit:
Ca (0.125, 0.125, 0.125) x16
Sb (0.000, 0.000, 0.500) x4
Mo (0.250, 0.250, 0.750) x4

Results
total DFT energy (no corrections): -426.053 eV/cell


VASP calculation (meta-GGA SCAN) on a PBEsol-optimized structure of Cd2AgPb.

Unit cell a=3.098 b=4.001 c=7.107 alpha=90.00 beta=90.00 gamma=90.00
Space group Pmm2 (No. 25)
Asymmetric unit:
Cd (0.000, 0.000, 0.000) x1
Cd (0.500, 0.500, 0.236) x1
Ag (0.500, 0.500, 0.800) x1
Pb (0.000, 0.000, 0.533) x1

Results
total DFT energy (no corrections): -167.698 eV/cell


VASP calculation (meta-GGA SCAN) on a PBEsol-optimized structure of LuB12.

Unit cell a=7.418 b=7.418 c=7.418 alpha=90.00 beta=90.00 gamma=90.00
Space group Fm-3m (No. 225)
Asymmetric unit:
Lu (0.000, 0.000, 0.000) x4
B (0.000, 0.169, 0.331) x48

Results
total DFT energy (no corrections): -593.442 eV/cell